Entry from OQMD: an optimized crystal structure of Dy3TmPb2N2 (PBE-GGA).

```
data_Dy3TmPb2N2
_chemical_formula_sum 'Dy3 Tm1 Pb2 N2'
_symmetry_space_group_name_H-M 'P 3 m 1'
_symmetry_Int_Tables_number 156
_cell_length_a 3.5328
_cell_length_b 3.5328
_cell_length_c 15.5470
_cell_angle_alpha 90.00
_cell_angle_beta 90.00
_cell_angle_gamma 120.00
loop_
_symmetry_equiv_pos_as_xyz
'x,y,z'
'-y,x-y,z'
'-x+y,-x,z'
'-y,-x,z'
'-x+y,y,z'
'x,x-y,z'
loop_
_atom_site_label
_atom_site_type_symbol
_atom_site_fract_x
_atom_site_fract_y
_atom_site_fract_z
Dy1 Dy 0.0000 0.0000 0.0000
Dy2 Dy 0.0000 0.0000 0.3338
Dy3 Dy 0.3333 0.6667 0.5015
Tm1 Tm 0.3333 0.6667 0.8347
Pb1 Pb 0.0000 0.0000 0.6694
Pb2 Pb 0.3333 0.6667 0.1665
N1 N 0.6667 0.3333 0.4176
N2 N 0.6667 0.3333 0.9137
```

Output
DFT total energy, eV per atom: -6.3973

Entry from OQMD: an optimized crystal structure of Ho2TmZn3NiAu2 (PBE-GGA).

```
data_Ho2TmZn3NiAu2
_chemical_formula_sum 'Ho4 Tm2 Zn6 Ni2 Au4'
_symmetry_space_group_name_H-M 'A m m 2'
_symmetry_Int_Tables_number 38
_cell_length_a 3.9038
_cell_length_b 12.5117
_cell_length_c 7.2294
_cell_angle_alpha 90.00
_cell_angle_beta 90.00
_cell_angle_gamma 90.00
loop_
_symmetry_equiv_pos_as_xyz
'x,y,z'
'-x,-y,z'
'-x,y,z'
'x,-y,z'
'x,y+1/2,z+1/2'
'-x,-y+1/2,z+1/2'
'-x,y+1/2,z+1/2'
'x,-y+1/2,z+1/2'
loop_
_atom_site_label
_atom_site_type_symbol
_atom_site_fract_x
_atom_site_fract_y
_atom_site_fract_z
Ho1 Ho 0.0000 0.1980 0.0000
Tm1 Tm 0.0000 0.0000 0.4089
Zn1 Zn 0.5000 0.0000 0.0326
Zn2 Zn 0.5000 0.1153 0.6864
Ni1 Ni 0.0000 0.0000 0.8006
Au1 Au 0.5000 0.1653 0.3029
```

Output
DFT total energy, eV per atom: -3.9041

Entry from OQMD: an optimized crystal structure of Sm2Sb2TeSe (PBE-GGA).

```
data_Sm2Sb2TeSe
_chemical_formula_sum 'Sm2 Sb2 Te1 Se1'
_symmetry_space_group_name_H-M 'P 4 m m'
_symmetry_Int_Tables_number 99
_cell_length_a 4.2595
_cell_length_b 4.2595
_cell_length_c 9.3226
_cell_angle_alpha 90.00
_cell_angle_beta 90.00
_cell_angle_gamma 90.00
loop_
_symmetry_equiv_pos_as_xyz
'x,y,z'
'-y,x,z'
'-x,-y,z'
'y,-x,z'
'-x,y,z'
'y,x,z'
'x,-y,z'
'-y,-x,z'
loop_
_atom_site_label
_atom_site_type_symbol
_atom_site_fract_x
_atom_site_fract_y
_atom_site_fract_z
Sm1 Sm 0.0000 0.0000 0.0000
Sm2 Sm 0.5000 0.5000 0.4334
Sb1 Sb 0.0000 0.5000 0.7179
Te1 Te 0.5000 0.5000 0.0962
Se1 Se 0.0000 0.0000 0.3469
```

Output
DFT total energy, eV per atom: -5.2891

Entry from OQMD: an optimized crystal structure of LiBPd3 (PBE-GGA).

```
data_LiBPd3
_chemical_formula_sum 'Li4 B4 Pd12'
_symmetry_space_group_name_H-M 'C 1 2/m 1'
_symmetry_Int_Tables_number 12
_cell_length_a 9.6564
_cell_length_b 5.5283
_cell_length_c 5.4619
_cell_angle_alpha 90.00
_cell_angle_beta 103.67
_cell_angle_gamma 90.00
loop_
_symmetry_equiv_pos_as_xyz
'x,y,z'
'-x,-y,-z'
'-x,y,-z'
'x,-y,z'
'x+1/2,y+1/2,z'
'-x+1/2,-y+1/2,-z'
'-x+1/2,y+1/2,-z'
'x+1/2,-y+1/2,z'
loop_
_atom_site_label
_atom_site_type_symbol
_atom_site_fract_x
_atom_site_fract_y
_atom_site_fract_z
Li1 Li 0.0000 0.0000 0.0000
Li2 Li 0.0000 0.0000 0.5000
B1 B 0.1660 0.5000 0.9995
Pd1 Pd 0.0322 0.5000 0.2676
Pd2 Pd 0.2221 0.2536 0.7343
```

Output
DFT total energy, eV per atom: -5.2098

Entry from OQMD: an optimized crystal structure of NaPrSO (PBE-GGA).

```
data_NaPrSO
_chemical_formula_sum 'Na2 Pr2 S2 O2'
_symmetry_space_group_name_H-M 'P m c 21'
_symmetry_Int_Tables_number 26
_cell_length_a 4.4964
_cell_length_b 7.3202
_cell_length_c 6.2880
_cell_angle_alpha 90.00
_cell_angle_beta 90.00
_cell_angle_gamma 90.00
loop_
_symmetry_equiv_pos_as_xyz
'x,y,z'
'-x,-y,z+1/2'
'-x,y,z'
'x,-y,z+1/2'
loop_
_atom_site_label
_atom_site_type_symbol
_atom_site_fract_x
_atom_site_fract_y
_atom_site_fract_z
Na1 Na 0.0000 0.2015 0.0000
Pr1 Pr 0.5000 0.3485 0.4346
S1 S 0.0000 0.1704 0.5617
O1 O 0.5000 0.3733 0.0804
```

Output
ΔE to the lowest computed polymorph, eV/atom: 0.1797

Entry from OQMD: an optimized crystal structure of Cs2NbPdBr6 (PBE-GGA).

```
data_Cs2NbPdBr6
_chemical_formula_sum 'Cs8 Nb4 Pd4 Br24'
_symmetry_space_group_name_H-M 'F m -3 m'
_symmetry_Int_Tables_number 225
_symmetry_space_group_name_Hall '-F 4 2 3'
_cell_length_a 10.9132
_cell_length_b 10.9132
_cell_length_c 10.9132
_cell_angle_alpha 90.00
_cell_angle_beta 90.00
_cell_angle_gamma 90.00
loop_
_atom_site_label
_atom_site_type_symbol
_atom_site_fract_x
_atom_site_fract_y
_atom_site_fract_z
Cs1 Cs 0.2500 0.2500 0.2500
Nb1 Nb 0.0000 0.0000 0.0000
Pd1 Pd 0.0000 0.0000 0.5000
Br1 Br 0.0000 0.0000 0.2422
```

Output
DFT total energy, eV per atom: -3.7106

Entry from OQMD: an optimized crystal structure of Er2Sn6Au (PBE-GGA).

```
data_Er2Sn6Au
_chemical_formula_sum 'Er4 Sn12 Au2'
_symmetry_space_group_name_H-M 'C m m m'
_symmetry_Int_Tables_number 65
_symmetry_space_group_name_Hall '-C 2 2'
_cell_length_a 4.4492
_cell_length_b 22.7129
_cell_length_c 4.5237
_cell_angle_alpha 90.00
_cell_angle_beta 90.00
_cell_angle_gamma 90.00
loop_
_atom_site_label
_atom_site_type_symbol
_atom_site_fract_x
_atom_site_fract_y
_atom_site_fract_z
Er1 Er 0.0000 0.1831 0.0000
Sn1 Sn 0.0000 0.0806 0.5000
Sn2 Sn 0.0000 0.2950 0.5000
Sn3 Sn 0.0000 0.4210 0.0000
Au1 Au 0.0000 0.5000 0.5000
```

Output
DFT total energy, eV per atom: -4.4562

Entry from OQMD: an optimized crystal structure of ScNbIr2 (PBE-GGA).

```
data_ScNbIr2
_chemical_formula_sum 'Sc4 Nb4 Ir8'
_symmetry_space_group_name_H-M 'F -4 3 m'
_symmetry_Int_Tables_number 216
_symmetry_space_group_name_Hall 'F -4 2 3'
_cell_length_a 6.3886
_cell_length_b 6.3886
_cell_length_c 6.3886
_cell_angle_alpha 90.00
_cell_angle_beta 90.00
_cell_angle_gamma 90.00
loop_
_atom_site_label
_atom_site_type_symbol
_atom_site_fract_x
_atom_site_fract_y
_atom_site_fract_z
Sc1 Sc 0.0000 0.0000 0.0000
Nb1 Nb 0.2500 0.2500 0.2500
Ir1 Ir 0.0000 0.0000 0.5000
Ir2 Ir 0.2500 0.2500 0.7500
```

Output
DFT total energy, eV per atom: -8.8298

Entry from OQMD: an optimized crystal structure of ThIr2Au2 (PBE-GGA).

```
data_ThIr2Au2
_chemical_formula_sum 'Th2 Ir4 Au4'
_symmetry_space_group_name_H-M 'I 4/m m m'
_symmetry_Int_Tables_number 139
_symmetry_space_group_name_Hall '-I 4 2'
_cell_length_a 3.9965
_cell_length_b 3.9965
_cell_length_c 12.6294
_cell_angle_alpha 90.00
_cell_angle_beta 90.00
_cell_angle_gamma 90.00
loop_
_atom_site_label
_atom_site_type_symbol
_atom_site_fract_x
_atom_site_fract_y
_atom_site_fract_z
Th1 Th 0.0000 0.0000 0.0000
Ir1 Ir 0.0000 0.5000 0.2500
Au1 Au 0.0000 0.0000 0.3956
```

Output
DFT total energy, eV per atom: -6.4120

Entry from OQMD: an optimized crystal structure of Tl4Zn2SnGe (PBE-GGA).

```
data_Tl4Zn2SnGe
_chemical_formula_sum 'Tl8 Zn4 Sn2 Ge2'
_symmetry_space_group_name_H-M 'A m m 2'
_symmetry_Int_Tables_number 38
_cell_length_a 5.9374
_cell_length_b 10.2237
_cell_length_c 7.0486
_cell_angle_alpha 90.00
_cell_angle_beta 90.00
_cell_angle_gamma 90.00
loop_
_symmetry_equiv_pos_as_xyz
'x,y,z'
'-x,-y,z'
'-x,y,z'
'x,-y,z'
'x,y+1/2,z+1/2'
'-x,-y+1/2,z+1/2'
'-x,y+1/2,z+1/2'
'x,-y+1/2,z+1/2'
loop_
_atom_site_label
_atom_site_type_symbol
_atom_site_fract_x
_atom_site_fract_y
_atom_site_fract_z
Tl1 Tl 0.0000 0.1794 0.0000
Tl2 Tl 0.5000 0.1855 0.3476
Zn1 Zn 0.2607 0.0000 0.6948
Sn1 Sn 0.0000 0.0000 0.3799
Ge1 Ge 0.5000 0.0000 0.9916
```

Output
DFT total energy, eV per atom: -2.4702

Entry from OQMD: an optimized crystal structure of AgCl2 (PBE-GGA).

```
data_AgCl2
_chemical_formula_sum 'Ag2 Cl4'
_symmetry_space_group_name_H-M 'P 1 21/c 1'
_symmetry_Int_Tables_number 14
_cell_length_a 4.3498
_cell_length_b 5.5014
_cell_length_c 6.9105
_cell_angle_alpha 90.00
_cell_angle_beta 116.75
_cell_angle_gamma 90.00
loop_
_symmetry_equiv_pos_as_xyz
'x,y,z'
'-x,-y,-z'
'-x,y+1/2,-z+1/2'
'x,-y+1/2,z+1/2'
loop_
_atom_site_label
_atom_site_type_symbol
_atom_site_fract_x
_atom_site_fract_y
_atom_site_fract_z
Ag1 Ag 0.0000 0.0000 0.0000
Cl1 Cl 0.2802 0.2227 0.8131
```

Output
DFT total energy, eV per atom: -2.5016

Entry from OQMD: an optimized crystal structure of Cs2TbDyTe4 (PBE-GGA).

```
data_Cs2TbDyTe4
_chemical_formula_sum 'Cs2 Tb1 Dy1 Te4'
_symmetry_space_group_name_H-M 'P -3 m 1'
_symmetry_Int_Tables_number 164
_symmetry_space_group_name_Hall '-P 3 2"'
_cell_length_a 4.5547
_cell_length_b 4.5547
_cell_length_c 17.8147
_cell_angle_alpha 90.00
_cell_angle_beta 90.00
_cell_angle_gamma 120.00
loop_
_atom_site_label
_atom_site_type_symbol
_atom_site_fract_x
_atom_site_fract_y
_atom_site_fract_z
Cs1 Cs 0.3333 0.6667 0.2500
Tb1 Tb 0.0000 0.0000 0.5000
Dy1 Dy 0.0000 0.0000 0.0000
Te1 Te 0.3333 0.6667 0.5953
Te2 Te 0.3333 0.6667 0.9048
```

Output
DFT total energy, eV per atom: -4.3290

Copy entry 4 word for word.
Entry from OQMD: an optimized crystal structure of LiBPd3 (PBE-GGA).

```
data_LiBPd3
_chemical_formula_sum 'Li4 B4 Pd12'
_symmetry_space_group_name_H-M 'C 1 2/m 1'
_symmetry_Int_Tables_number 12
_cell_length_a 9.6564
_cell_length_b 5.5283
_cell_length_c 5.4619
_cell_angle_alpha 90.00
_cell_angle_beta 103.67
_cell_angle_gamma 90.00
loop_
_symmetry_equiv_pos_as_xyz
'x,y,z'
'-x,-y,-z'
'-x,y,-z'
'x,-y,z'
'x+1/2,y+1/2,z'
'-x+1/2,-y+1/2,-z'
'-x+1/2,y+1/2,-z'
'x+1/2,-y+1/2,z'
loop_
_atom_site_label
_atom_site_type_symbol
_atom_site_fract_x
_atom_site_fract_y
_atom_site_fract_z
Li1 Li 0.0000 0.0000 0.0000
Li2 Li 0.0000 0.0000 0.5000
B1 B 0.1660 0.5000 0.9995
Pd1 Pd 0.0322 0.5000 0.2676
Pd2 Pd 0.2221 0.2536 0.7343
```

Output
DFT total energy, eV per atom: -5.2098